No. 1
Here is AgIrPb2 after structural relaxation from OQMD. Energies are from PBE-GGA.

Results
The calculation puts the size of the total moment at 0.0014 μB/atom. As for the space group: F-43m, No. 216. As for the uncorrected energy: -17.04 eV per formula unit.

abc: 4.9919 4.9919 4.9919
angles: 60.00 60.00 60.00
With the nearest neighbours (Å) after each atom.
Atoms (fractional coordinates):
Ag1 0.0000 0.0000 0.0000  4 Pb 3.06, 4 Ir 3.06
Ir1 0.7500 0.7500 0.7500  4 Pb 3.06, 4 Ag 3.06
Pb1 0.2500 0.2500 0.2500  4 Pb 3.06, 4 Ag 3.06
Pb2 0.5000 0.5000 0.5000  4 Pb 3.06, 4 Ir 3.06

---

No. 2
Here is AgTe3IrPb after structural relaxation from OQMD. Energies are from PBE-GGA.

Results
The calculation puts the size of the total moment at 0.0009 μB/atom. As for the space group: Cmcm, No. 63. As for the uncorrected energy: -25.38 eV per formula unit.

abc: 7.4508 7.4508 11.2095
angles: 90.00 90.00 148.18
With the nearest neighbours (Å) after each atom.
Atoms (fractional coordinates):
Ag1 0.1321 0.8679 0.7500  2 Te 2.71
Ag2 0.8679 0.1321 0.2500  2 Te 2.71
Te1 0.1207 0.8793 0.5088  2 Ir 2.68, 1 Ag 2.71
Te2 0.1207 0.8793 0.9912  2 Ir 2.68, 1 Ag 2.71
Te3 0.4617 0.5383 0.7500  2 Ir 2.86, 2 Ag 3.18
Te4 0.5383 0.4617 0.2500  2 Ir 2.86, 2 Ag 3.18
Te5 0.8793 0.1207 0.0088  2 Ir 2.68, 1 Ag 2.71
Te6 0.8793 0.1207 0.4912  2 Ir 2.68, 1 Ag 2.71
Ir1 0.5000 0.5000 0.0000  6 Te 2.68-2.86
Ir2 0.5000 0.5000 0.5000  6 Te 2.68-2.86
Pb1 0.2100 0.7900 0.2500  2 Ag 3.05, 4 Te 3.17-3.20
Pb2 0.7900 0.2100 0.7500  2 Ag 3.05, 4 Te 3.17-3.20

---

No. 3
Here is AgIr2Pd after structural relaxation from OQMD. Energies are from PBE-GGA.

Results
The calculation puts the size of the total moment at 0.0251 μB/atom. As for the space group: F-43m, No. 216. The energy of formation is 466 meV per atom.

abc: 4.4429 4.4429 4.4429
angles: 60.00 60.00 60.00
With the nearest neighbours (Å) after each atom.
Atoms (fractional coordinates):
Ag1 0.0000 0.0000 0.0000  4 Pd 2.72, 4 Ir 2.72
Ir1 0.2500 0.2500 0.2500  4 Ir 2.72, 4 Ag 2.72
Ir2 0.5000 0.5000 0.5000  4 Pd 2.72, 4 Ir 2.72
Pd1 0.7500 0.7500 0.7500  4 Ir 2.72, 4 Ag 2.72

---

Q: Which value of size of the total moment does entry 3 give?
A: 0.0251 μB/atom

---

Q: Look up the size of the total moment of the third one.
A: 0.0251 μB/atom

---

Q: Which value of size of the total moment does entry 1 give?
A: 0.0014 μB/atom

---

What did the first record say?
Here is AgIrPb2 after structural relaxation from OQMD. Energies are from PBE-GGA.

Results
The calculation puts the size of the total moment at 0.0014 μB/atom. As for the space group: F-43m, No. 216. As for the uncorrected energy: -17.04 eV per formula unit.

abc: 4.9919 4.9919 4.9919
angles: 60.00 60.00 60.00
With the nearest neighbours (Å) after each atom.
Atoms (fractional coordinates):
Ag1 0.0000 0.0000 0.0000  4 Pb 3.06, 4 Ir 3.06
Ir1 0.7500 0.7500 0.7500  4 Pb 3.06, 4 Ag 3.06
Pb1 0.2500 0.2500 0.2500  4 Pb 3.06, 4 Ag 3.06
Pb2 0.5000 0.5000 0.5000  4 Pb 3.06, 4 Ir 3.06